Compound: ScBePt2
Source: Alexandria
Functional: PBE
Structure: optimized geometry

abc: 4.401 4.401 4.401
angles: 60.00 60.00 60.00
Element x y z (fractional)
Sc: 0.000 0.000 0.000
Be: 0.500 0.500 0.500
Pt: 0.250 0.250 0.250
Pt: 0.750 0.750 0.750

Properties
As for the crystal system: cubic. As for the density of states at the Fermi level: 0.601 states/eV/atom. As for the space-group type: No. 225. The formation energy comes out at -0.833 eV/atom. As for the raw total energy: -0.234 hartree per atom. The energy above the most stable polymorph in this dataset comes out at 109 meV per atom.


Compound: ScBe2Pt
Source: Alexandria
Functional: PBE
Structure: optimized geometry

abc: 3.933 3.933 5.042
angles: 112.63 112.63 59.90
Element x y z (fractional)
Sc: 0.000 0.000 0.000
Be: 0.523 0.523 0.570
Be: 0.807 0.807 0.420
Pt: 0.197 0.197 0.591

Properties
As for the crystal system: monoclinic. As for the density of states at the Fermi level: 0.397 states/eV/atom. As for the space-group type: No. 8. The formation energy comes out at -0.560 eV/atom. As for the raw total energy: -0.203 hartree per atom. The energy above the most stable polymorph in this dataset comes out at 90 meV per atom.


Compound: ScBe2Pt
Source: Alexandria
Functional: PBE
Structure: optimized geometry

abc: 4.928 4.928 4.928
angles: 46.24 46.24 46.24
Element x y z (fractional)
Sc: 0.000 0.000 0.000
Be: 0.202 0.202 0.202
Be: 0.798 0.798 0.798
Pt: 0.500 0.500 0.500

Properties
As for the crystal system: trigonal. As for the density of states at the Fermi level: 0.241 states/eV/atom. As for the space-group type: No. 166. The formation energy comes out at -0.635 eV/atom. As for the raw total energy: -0.205 hartree per atom. The energy above the most stable polymorph in this dataset comes out at 15 meV per atom.